# 1
Entry from the Alexandria database: a geometry-optimized TmCo3Ge3 structure (PBE).

Geometry as POSCAR:
```
TmCo3Ge3
1.0
8.0533 0.0000 0.0000
-4.0267 6.9744 0.0000
0.0000 0.0000 4.0334
Tm Co Ge
2 6 6
Cartesian
0.0000 4.6496 1.0083
4.0267 2.3248 3.0250
-2.9289 5.9640 1.0083
0.3262 1.4559 1.0083
1.4239 0.4455 3.0250
2.6027 6.5289 1.0083
3.7005 5.5185 3.0250
6.9556 1.0104 3.0250
-2.0602 5.0247 3.0250
0.7052 2.6778 3.0250
2.6717 0.7281 1.0083
1.3550 6.2463 3.0250
3.3214 4.2966 1.0083
6.0869 1.9497 1.0083
```

Calculated values
**Volume**: 113 Å³/f.u.
**E_tot**: -5.98 eV per atom
**Space-group type**: P6_3/m (176)
**Formation energy from the elements**: -0.315 eV per atom
**M_tot**: 0.0 μB per cell

# 2
Entry from the Alexandria database: a geometry-optimized TlSbAu2 structure (PBE).

Geometry as POSCAR:
```
TlSbAu2
1.0
4.1441 0.0000 0.0000
-2.0720 3.5889 0.0000
0.0000 0.0000 20.2742
Tl Sb Au
3 3 6
Cartesian
0.0000 0.0000 0.0000
0.0000 2.3926 13.5161
2.0720 1.1963 6.7580
0.0000 0.0000 3.4742
0.0000 2.3926 16.9903
2.0720 1.1963 10.2323
0.0000 0.0000 11.8040
0.0000 0.0000 15.3829
0.0000 2.3926 5.0460
0.0000 2.3926 8.6249
2.0720 1.1963 1.8668
2.0720 1.1963 18.5621
```

Calculated values
**Volume**: 101 Å³/f.u.
**Raw formation energy**: 1 kJ per mole of atoms
**E_tot**: -3.25 eV per atom
**Space-group type**: R3m (160)
**M_tot**: 0.0 μB per cell